Record 1
A relaxed structure of Ca2TiAl2Pd5, computed with PBE.

a = 3.3343 Å, b = 10.4175 Å, c = 10.4175 Å
α = 90.00°, β = 90.00°, γ = 90.00°
Sites, in units of the cell vectors:
Ca 0.0000 0.6745 0.1745
Ca 0.0000 0.3255 0.8255
Ca 0.0000 0.1745 0.3255
Ca 0.0000 0.8255 0.6745
Ti 0.0000 0.0000 0.0000
Ti 0.0000 0.5000 0.5000
Al 0.0000 0.1265 0.6265
Al 0.0000 0.8735 0.3735
Al 0.0000 0.6265 0.8735
Al 0.0000 0.3735 0.1265
Pd 0.5000 0.1991 0.0569
Pd 0.5000 0.8009 0.9431
Pd 0.5000 0.0569 0.8009
Pd 0.5000 0.6991 0.4431
Pd 0.5000 0.9431 0.1991
Pd 0.5000 0.3009 0.5569
Pd 0.5000 0.5569 0.6991
Pd 0.5000 0.4431 0.3009
Pd 0.5000 0.5000 0.0000
Pd 0.5000 0.0000 0.5000

## Properties
SG	P4/mbm, No. 127
DOS(E_F)	11.2	states/eV/cell
crystal system	tetragonal
formation energy from the elements	-0.6945	eV/atom
size of the total moment	0.000	μB/atom

=====

Record 2
A relaxed structure of LiMnGeW, computed with PBE.

a = 4.1437 Å, b = 4.1437 Å, c = 4.1437 Å
α = 60.00°, β = 60.00°, γ = 60.00°
Sites, in units of the cell vectors:
Ge 0.7500 0.7500 0.7500
Mn 0.0000 0.0000 0.0000
W 0.2500 0.2500 0.2500
Li 0.5000 0.5000 0.5000

## Properties
SG	F-43m, No. 216
DOS(E_F)	0.5	states/eV/cell
crystal system	cubic
formation energy from the elements	-0.0608	eV/atom
size of the total moment	0.000	μB/atom

=====

Record 3
A relaxed structure of BiPNO2, computed with PBE.

a = 4.0920 Å, b = 4.0920 Å, c = 5.7382 Å
α = 90.00°, β = 90.00°, γ = 90.00°
Last column: magnetic moment on the atom in μB.
Sites, in units of the cell vectors:
P 0.0000 0.0000 0.5000  -0.51
Bi 0.0000 0.0000 0.0000  0.03
O 0.0000 0.5000 0.0000  0.01
O 0.5000 0.0000 0.0000  0.01
N 0.5000 0.5000 0.5000  1.42

## Properties
SG	P4/mmm, No. 123
DOS(E_F)	2.2	states/eV/cell
crystal system	tetragonal
raw formation energy	1.141	eV per atom
size of the total moment	0.204	μB/atom